Material: ScSbF3
Method: DFT, PBE
State: optimized geometry

Calculated values
The calculation puts the raw formation energy at -2.30 eV/atom. The value obtained for the volume is 15.927 A^3/atom. For the spin magnetization, the calculation gives 0.004 μB/f.u. The density of states at the Fermi level comes out at 0.985 states/eV/atom. The value obtained for the calculated density is 4.66 g/cm³. The calculated total energy is -27.55 eV/cell.

a b c (Å): 4.302 4.302 4.302
angles (deg): 90.00 90.00 90.00
Fractional positions:
Sc  0.000  0.000  0.000
Sb  0.500  0.500  0.500
F  0.000  0.000  0.500
F  0.000  0.500  0.000
F  0.500  0.000  0.000